Entry from Alexandria via LeMat-Bulk: a geometry-optimized TbGa2RuRh structure (PBE).

a b c (Å): 4.3662 4.3662 5.6862
angles (deg): 112.58 112.58 90.00
Positions (direct):
1 Ga 0.3679 0.3679 0.7358
2 Ru 0.7500 0.2500 0.5000
3 Tb 0.0000 0.0000 0.0000
4 Ga 0.6321 0.6321 0.2642
5 Rh 0.2500 0.7500 0.5000

Output
- calculated density (g cm⁻³) = 9.16
- crystal system = tetragonal
- calculated formation energy (eV/atom) = -0.63
- space group = No. 119

Entry from Alexandria via LeMat-Bulk: a geometry-optimized TbGaRuRh structure (PBE).

a b c (Å): 4.5647 4.5647 4.5647
angles (deg): 60.00 60.00 60.00
Positions (direct):
1 Tb 0.7500 0.7500 0.7500
2 Ga 0.2500 0.2500 0.2500
3 Rh 0.0000 0.0000 0.0000
4 Ru 0.5000 0.5000 0.5000

Output
- calculated density (g cm⁻³) = 10.68
- crystal system = cubic
- calculated formation energy (eV/atom) = -0.52
- space group = No. 216

Entry from Alexandria via LeMat-Bulk: a geometry-optimized TbGa4RuRh2 structure (PBE).

a b c (Å): 4.2335 4.2335 8.9075
angles (deg): 76.25 76.25 60.00
Positions (direct):
1 Ga 0.6001 0.6001 0.1996
2 Ga 0.3999 0.3999 0.8004
3 Tb 0.0000 0.0000 0.0000
4 Rh 0.2390 0.2390 0.2831
5 Ga 0.1322 0.1322 0.6034
6 Rh 0.7610 0.7610 0.7169
7 Ga 0.8678 0.8678 0.3966
8 Ru 0.5000 0.5000 0.5000

Output
- calculated density (g cm⁻³) = 9.30
- crystal system = trigonal
- calculated formation energy (eV/atom) = -0.63
- space group = No. 166

Entry from Alexandria via LeMat-Bulk: a geometry-optimized ThGa3RuRh structure (PBE).

a b c (Å): 5.6420 7.9127 6.6717
angles (deg): 126.37 90.00 90.00
Positions (direct):
1 Ga 0.7500 0.8268 0.6536
2 Ru 0.2500 0.9388 0.8776
3 Th 0.7500 0.2939 0.5877
4 Rh 0.7500 0.5896 0.1792
5 Ga 0.0000 0.2557 0.0000
6 Th 0.2500 0.7061 0.4123
7 Ga 0.2500 0.1732 0.3464
8 Ga 0.0000 0.7443 0.0000
9 Ga 0.5000 0.7443 0.0000
10 Rh 0.2500 0.4104 0.8208
11 Ga 0.5000 0.2557 0.0000
12 Ru 0.7500 0.0612 0.1224

Output
- calculated density (g cm⁻³) = 8.93
- crystal system = orthorhombic
- calculated formation energy (eV/atom) = -0.42
- space group = No. 63